The following is a PBE calculation of a geometry-optimized LiTbO structure, from the Alexandria database.

Unit cell a=5.4384 b=6.3378 c=7.5062 alpha=75.48 beta=90.00 gamma=90.00
Sites, in units of the cell vectors:
O 0.0357 0.3775 0.6832
Li 0.6765 0.1290 0.2490
Tb 0.7947 0.6573 0.5867
Tb 0.2053 0.3427 0.4133
Li 0.8235 0.1290 0.7490
Tb 0.2947 0.3427 0.9133
Li 0.3235 0.8710 0.7510
O 0.5357 0.6225 0.8168
O 0.9643 0.6225 0.3168
O 0.4643 0.3775 0.1832
Li 0.1765 0.8710 0.2510
Tb 0.7053 0.6573 0.0867

Summary:
- Formation energy without anion corrections: -1851 meV per atom
- VASP energy: -5.6852 eV per atom
- Space-group type: P2_1/c (14)